Record 1
Computed, not measured: a relaxed structure of Cs3K4Rb2 at the PBE level of DFT.

POSCAR file:
```
Cs3K4Rb2
1.0
8.017 0.000 0.000
-4.008 6.869 0.142
0.000 -0.561 14.505
Rb Cs K
2 3 4
Direct
0.331 0.663 0.215
0.669 0.337 0.785
0.666 0.333 0.436
0.334 0.667 0.564
0.000 0.000 0.000
0.665 0.331 0.110
0.002 0.004 0.666
0.335 0.669 0.890
0.998 0.996 0.334
```

Computed properties:
Energy relative to the elements (meV per atom): 9

Record 2
Computed, not measured: a relaxed structure of Cs6KRb2 at the PBE level of DFT.

POSCAR file:
```
Cs6KRb2
1.0
6.950 0.000 -1.776
-0.454 6.935 -1.776
2.374 2.535 23.782
Cs K Rb
6 1 2
Direct
0.835 0.331 0.166
0.669 0.669 0.834
0.331 0.835 0.166
0.750 0.250 0.500
0.165 0.165 0.834
0.250 0.750 0.500
0.500 0.500 0.000
0.171 0.171 0.342
0.829 0.829 0.658
```

Computed properties:
Energy relative to the elements (meV per atom): 140

Record 3
Computed, not measured: a relaxed structure of Cs7K5Rb at the PBE level of DFT.

POSCAR file:
```
Cs7K5Rb
1.0
9.206 0.000 0.000
4.603 11.818 0.185
4.603 0.146 11.819
Cs K Rb
7 5 1
Direct
0.993 0.666 0.347
0.275 0.225 0.225
0.658 0.342 0.342
0.500 0.812 0.188
0.352 0.648 0.648
0.500 0.188 0.812
0.993 0.347 0.666
0.491 0.517 0.996
0.996 0.996 0.517
0.491 0.996 0.517
0.725 0.775 0.775
0.996 0.517 0.996
0.029 0.971 0.971
```

Computed properties:
Energy relative to the elements (meV per atom): 20